DFT (GGA-PBE) results for Zr6IrPt after structural relaxation.

## Properties
Density (g/cm3): 9.4
Formation energy (meV/atom): -487

a = 4.7591 Å, b = 4.7591 Å, c = 14.5858 Å
α = 90.00°, β = 90.00°, γ = 90.00°
With the nearest neighbours (Å) after each atom.
Positions (direct):
Zr 0.0000 0.0000 0.2494  12 Zr 3.12-3.37
Zr 0.0000 0.0000 0.7506  12 Zr 3.12-3.37
Zr 0.0000 0.5000 0.1111  2 Ir 2.88, 2 Pt 2.88, 4 Zr 3.12-3.13
Zr 0.0000 0.5000 0.3889  2 Ir 2.88, 2 Pt 2.88, 4 Zr 3.12-3.13
Zr 0.0000 0.5000 0.6111  2 Ir 2.88, 2 Pt 2.88, 4 Zr 3.12-3.13
Zr 0.0000 0.5000 0.8889  2 Ir 2.88, 2 Pt 2.88, 4 Zr 3.12-3.13
Zr 0.5000 0.0000 0.1111  2 Ir 2.88, 2 Pt 2.88, 4 Zr 3.12-3.13
Zr 0.5000 0.0000 0.3889  2 Ir 2.88, 2 Pt 2.88, 4 Zr 3.12-3.13
Zr 0.5000 0.0000 0.6111  2 Ir 2.88, 2 Pt 2.88, 4 Zr 3.12-3.13
Zr 0.5000 0.0000 0.8889  2 Ir 2.88, 2 Pt 2.88, 4 Zr 3.12-3.13
Zr 0.5000 0.5000 0.2506  12 Zr 3.12-3.37
Zr 0.5000 0.5000 0.7494  12 Zr 3.12-3.37
Ir 0.0000 0.0000 0.0000  8 Zr 2.88
Ir 0.5000 0.5000 0.5000  8 Zr 2.88
Pt 0.0000 0.0000 0.5000  8 Zr 2.88
Pt 0.5000 0.5000 0.0000  8 Zr 2.88

DFT (GGA-PBE) results for ZrIr2Pt after structural relaxation.

## Properties
Density (g/cm3): 17.2
Formation energy (meV/atom): -640

a = 3.9892 Å, b = 3.9892 Å, c = 8.1355 Å
α = 90.00°, β = 90.00°, γ = 90.00°
With the nearest neighbours (Å) after each atom.
Positions (direct):
Zr 0.0000 0.0000 0.0000  8 Ir 2.82-2.85, 4 Pt 2.85
Zr 0.5000 0.5000 0.5000  8 Ir 2.82-2.85, 4 Pt 2.85
Ir 0.0000 0.0000 0.5000  4 Zr 2.82, 4 Ir 2.85, 4 Pt 2.85
Ir 0.0000 0.5000 0.2500  4 Pt 2.82, 4 Zr 2.85, 4 Ir 2.85
Ir 0.5000 0.0000 0.7500  4 Pt 2.82, 4 Zr 2.85, 4 Ir 2.85
Ir 0.5000 0.5000 0.0000  4 Zr 2.82, 4 Ir 2.85, 4 Pt 2.85
Pt 0.0000 0.5000 0.7500  8 Ir 2.82-2.85, 4 Zr 2.85
Pt 0.5000 0.0000 0.2500  8 Ir 2.82-2.85, 4 Zr 2.85

DFT (GGA-PBE) results for Zr4IrPt after structural relaxation.

## Properties
Density (g/cm3): 9.1
Energy above the most stable polymorph in this dataset (meV per atom): 178
Formation energy (meV/atom): -535

a = 4.5808 Å, b = 4.5808 Å, c = 6.5058 Å
α = 90.00°, β = 90.00°, γ = 90.00°
With the nearest neighbours (Å) after each atom.
Positions (direct):
Zr 0.0000 0.5000 0.2456  2 Ir 2.79, 2 Pt 2.83
Zr 0.0000 0.5000 0.7544  2 Ir 2.79, 2 Pt 2.83
Zr 0.5000 0.0000 0.2456  2 Ir 2.79, 2 Pt 2.83
Zr 0.5000 0.0000 0.7544  2 Ir 2.79, 2 Pt 2.83
Ir 0.0000 0.0000 0.0000  8 Zr 2.79
Pt 0.5000 0.5000 0.5000  8 Zr 2.83

DFT (GGA-PBE) results for ZrIr2Pt after structural relaxation.

## Properties
Density (g/cm3): 17.1
Formation energy (meV/atom): -115

a = 2.8381 Å, b = 2.8381 Å, c = 28.0121 Å
α = 90.00°, β = 90.00°, γ = 120.00°
With the nearest neighbours (Å) after each atom.
Positions (direct):
Zr 0.0000 0.0000 0.0000  6 Zr 2.84, 3 Pt 2.93, 3 Ir 2.95
Zr 0.3333 0.6667 0.6667  6 Zr 2.84, 3 Pt 2.93, 3 Ir 2.95
Zr 0.6667 0.3333 0.3333  6 Zr 2.84, 3 Pt 2.93, 3 Ir 2.95
Ir 0.0000 0.0000 0.4976  9 Ir 2.70-2.84, 3 Pt 2.83
Ir 0.0000 0.0000 0.7544  9 Ir 2.70-2.84, 3 Zr 2.95
Ir 0.3333 0.6667 0.1643  9 Ir 2.70-2.84, 3 Pt 2.83
Ir 0.3333 0.6667 0.4210  9 Ir 2.70-2.84, 3 Zr 2.95
Ir 0.6667 0.3333 0.0877  9 Ir 2.70-2.84, 3 Zr 2.95
Ir 0.6667 0.3333 0.8309  9 Ir 2.70-2.84, 3 Pt 2.83
Pt 0.0000 0.0000 0.2466  3 Ir 2.83, 6 Pt 2.84, 3 Zr 2.93
Pt 0.3333 0.6667 0.9132  3 Ir 2.83, 6 Pt 2.84, 3 Zr 2.93
Pt 0.6667 0.3333 0.5799  3 Ir 2.83, 6 Pt 2.84, 3 Zr 2.93

DFT (GGA-PBE) results for Zr6IrPt3 after structural relaxation.

## Properties
Density (g/cm3): 10.1
Formation energy (meV/atom): -598

a = 6.7510 Å, b = 6.9042 Å, c = 11.4874 Å
α = 90.00°, β = 125.65°, γ = 90.00°
With the nearest neighbours (Å) after each atom.
Positions (direct):
Zr 0.0518 0.0510 0.2481  1 Ir 2.69, 3 Pt 2.73-2.80
Zr 0.0518 0.4490 0.7481  1 Ir 2.69, 3 Pt 2.73-2.80
Zr 0.2261 0.6652 0.0721  1 Ir 2.62, 3 Pt 2.68-2.90
Zr 0.2261 0.8348 0.5721  1 Ir 2.62, 3 Pt 2.68-2.90
Zr 0.4148 0.1539 0.0721  1 Ir 2.64, 3 Pt 2.70-2.86
Zr 0.4148 0.3461 0.5721  1 Ir 2.64, 3 Pt 2.70-2.86
Zr 0.5852 0.6539 0.4279  1 Ir 2.64, 3 Pt 2.70-2.86
Zr 0.5852 0.8461 0.9279  1 Ir 2.64, 3 Pt 2.70-2.86
Zr 0.7739 0.1652 0.4279  1 Ir 2.62, 3 Pt 2.68-2.90
Zr 0.7739 0.3348 0.9279  1 Ir 2.62, 3 Pt 2.68-2.90
Zr 0.9482 0.5510 0.2519  1 Ir 2.69, 3 Pt 2.73-2.80
Zr 0.9482 0.9490 0.7519  1 Ir 2.69, 3 Pt 2.73-2.80
Ir 0.0000 0.0000 0.0000  6 Zr 2.62-2.69
Ir 0.0000 0.5000 0.5000  6 Zr 2.62-2.69
Pt 0.3060 0.1429 0.7454  6 Zr 2.73-2.90
Pt 0.3060 0.3571 0.2454  6 Zr 2.73-2.90
Pt 0.5000 0.0000 0.5000  6 Zr 2.68-2.73
Pt 0.5000 0.5000 0.0000  6 Zr 2.68-2.73
Pt 0.6940 0.6429 0.7546  6 Zr 2.73-2.90
Pt 0.6940 0.8571 0.2546  6 Zr 2.73-2.90

DFT (GGA-PBE) results for ZrIr2Pt after structural relaxation.

## Properties
Density (g/cm3): 17.0
Formation energy (meV/atom): -449

a = 9.4191 Å, b = 2.9058 Å, c = 4.8652 Å
α = 90.00°, β = 100.70°, γ = 90.00°
With the nearest neighbours (Å) after each atom.
Positions (direct):
Zr 0.0000 0.0000 0.0000  4 Pt 2.83, 6 Ir 2.84-2.89, 2 Zr 2.91
Zr 0.5000 0.5000 0.0000  4 Pt 2.83, 6 Ir 2.84-2.89, 2 Zr 2.91
Ir 0.2485 0.5000 0.2604  6 Ir 2.74-2.93, 3 Pt 2.80-2.84, 3 Zr 2.84-2.89
Ir 0.2515 0.0000 0.7396  6 Ir 2.74-2.93, 3 Pt 2.80-2.84, 3 Zr 2.84-2.89
Ir 0.7485 0.0000 0.2604  6 Ir 2.74-2.93, 3 Pt 2.80-2.84, 3 Zr 2.84-2.89
Ir 0.7515 0.5000 0.7396  6 Ir 2.74-2.93, 3 Pt 2.80-2.84, 3 Zr 2.84-2.89
Pt 0.0000 0.5000 0.5000  6 Ir 2.80-2.84, 4 Zr 2.83, 2 Pt 2.91
Pt 0.5000 0.0000 0.5000  6 Ir 2.80-2.84, 4 Zr 2.83, 2 Pt 2.91